# SrNb4Cd3O12

An optimized crystal structure of SrNb4Cd3O12 (PBE, the Open Quantum Materials Database).

a = 6.880 Å, b = 6.880 Å, c = 6.880 Å
α = 109.47°, β = 109.47°, γ = 109.47°
Element x y z (fractional)
Cd 0.500 0.500 0.000
Cd 0.500 0.000 0.500
Cd 0.000 0.500 0.500
Nb 0.500 0.000 0.000
Nb 0.000 0.500 0.000
Nb 0.000 0.000 0.500
Nb 0.500 0.500 0.500
O 0.800 0.289 0.088
O 0.289 0.489 0.200
O 0.711 0.912 0.200
O 0.489 0.200 0.289
O 0.088 0.800 0.289
O 0.200 0.289 0.489
O 0.800 0.711 0.511
O 0.912 0.200 0.711
O 0.511 0.800 0.711
O 0.289 0.088 0.800
O 0.711 0.511 0.800
O 0.200 0.711 0.912
Sr 0.000 0.000 0.000

The calculation puts the energy at -7.28 eV per atom.

=====

# NbCdOs

An optimized crystal structure of NbCdOs (PBE, the Open Quantum Materials Database).

a = 4.428 Å, b = 4.428 Å, c = 4.428 Å
α = 60.00°, β = 60.00°, γ = 60.00°
Element x y z (fractional)
Cd 0.250 0.250 0.250
Nb 0.000 0.000 0.000
Os 0.750 0.750 0.750

As for the energy of formation: 2.414 eV/f.u. The calculation puts the energy at -6.60 eV per atom. The calculation puts the polymorph energy (0 for the lowest one) at 268 meV/atom.

=====

# NbCdOs

An optimized crystal structure of NbCdOs (PBE, the Open Quantum Materials Database).

a = 4.422 Å, b = 4.422 Å, c = 4.422 Å
α = 60.00°, β = 60.00°, γ = 60.00°
Element x y z (fractional)
Cd 0.250 0.250 0.250
Nb 0.750 0.750 0.750
Os 0.000 0.000 0.000

As for the energy of formation: 1.611 eV/f.u. The calculation puts the energy at -6.87 eV per atom. The calculation puts the polymorph energy (0 for the lowest one) at 0 meV/atom.

=====

# PaNbCd

An optimized crystal structure of PaNbCd (PBE, the Open Quantum Materials Database).

a = 4.692 Å, b = 4.692 Å, c = 4.692 Å
α = 60.00°, β = 60.00°, γ = 60.00°
Element x y z (fractional)
Cd 0.500 0.500 0.500
Nb 0.250 0.250 0.250
Pa 0.000 0.000 0.000

As for the energy of formation: 2.364 eV/f.u. The calculation puts the energy at -6.04 eV per atom. The calculation puts the polymorph energy (0 for the lowest one) at 0 meV/atom.

=====

# PaNbCd

An optimized crystal structure of PaNbCd (PBE, the Open Quantum Materials Database).

a = 4.789 Å, b = 4.789 Å, c = 4.789 Å
α = 60.00°, β = 60.00°, γ = 60.00°
Element x y z (fractional)
Cd 0.250 0.250 0.250
Nb 0.750 0.750 0.750
Pa 0.000 0.000 0.000

As for the energy of formation: 3.753 eV/f.u. The calculation puts the energy at -5.58 eV per atom. The calculation puts the polymorph energy (0 for the lowest one) at 463 meV/atom.

=====

# Nb2CdPb

An optimized crystal structure of Nb2CdPb (PBE, the Open Quantum Materials Database).

a = 4.893 Å, b = 4.893 Å, c = 4.893 Å
α = 60.00°, β = 60.00°, γ = 60.00°
Element x y z (fractional)
Cd 0.250 0.250 0.250
Nb 0.000 0.000 0.000
Nb 0.750 0.750 0.750
Pb 0.500 0.500 0.500

The calculation puts the energy at -5.62 eV per atom.

=====

# NbCdPd2

An optimized crystal structure of NbCdPd2 (PBE, the Open Quantum Materials Database).

a = 4.582 Å, b = 4.582 Å, c = 4.582 Å
α = 60.00°, β = 60.00°, γ = 60.00°
Element x y z (fractional)
Cd 0.500 0.500 0.500
Nb 0.750 0.750 0.750
Pd 0.000 0.000 0.000
Pd 0.250 0.250 0.250

As for the energy of formation: -0.167 eV/f.u. The calculation puts the energy at -5.38 eV per atom.

=====

# NbCdPd

An optimized crystal structure of NbCdPd (PBE, the Open Quantum Materials Database).

a = 4.489 Å, b = 4.489 Å, c = 4.489 Å
α = 60.00°, β = 60.00°, γ = 60.00°
Element x y z (fractional)
Cd 0.250 0.250 0.250
Nb 0.000 0.000 0.000
Pd 0.750 0.750 0.750

As for the energy of formation: 1.681 eV/f.u. The calculation puts the energy at -4.83 eV per atom. The calculation puts the polymorph energy (0 for the lowest one) at 374 meV/atom.